(1)
Nb3VF6 | PBE with a Hubbard U | relaxed

```
Nb3VF6
1.0
5.3552 0.0000 0.0000
-2.6032 4.7087 0.0000
-0.5342 -0.9112 6.0686
Nb V F
3 1 6
Cartesian
0.0000 0.0000 0.0000 Nb
-1.3016 2.3544 0.0000 Nb
2.6776 0.0000 0.0000 Nb
1.1089 1.8988 3.0343 V
0.1886 0.3294 2.0488 F
-0.5124 2.2714 4.4427 F
0.0007 3.1376 1.6248 F
2.2172 0.6599 4.4438 F
2.7303 1.5261 1.6259 F
2.0292 3.4681 4.0199 F
```

Space group ... P-1
Fermi-level density of states ... 5.30 states/eV/cell
Electronic total energy ... -6.68 eV per atom

***

(2)
NbV3F | PBE with a Hubbard U | relaxed

```
NbV3F
1.0
4.9235 0.0000 0.0000
0.0000 4.9235 0.0000
0.0000 0.0000 4.9235
Nb V F
1 3 1
Cartesian
0.0000 0.0000 0.0000 Nb
0.0000 0.0000 2.4618 V
0.0000 2.4618 0.0000 V
2.4618 0.0000 0.0000 V
2.4618 2.4618 2.4618 F
```

Space group ... Pm-3m
Distance to the lowest polymorph of the same formula ... 1275 meV per atom
Fermi-level density of states ... 4.11 states/eV/cell
Electronic total energy ... -5.15 eV per atom

***

(3)
NbV3F | PBE with a Hubbard U | relaxed

```
NbV3F
1.0
4.3454 0.0000 0.0000
0.0000 4.3454 0.0000
0.0000 0.0000 4.3454
Nb V F
1 3 1
Cartesian
0.0000 0.0000 0.0000 Nb
0.0000 2.1727 2.1727 V
2.1727 0.0000 2.1727 V
2.1727 2.1727 0.0000 V
2.1727 2.1727 2.1727 F
```

Space group ... Pm-3m
Distance to the lowest polymorph of the same formula ... 0 meV per atom
Fermi-level density of states ... 1.78 states/eV/cell
Electronic total energy ... -6.42 eV per atom

***

(4)
Nb2VF2 | PBE with a Hubbard U | relaxed

```
Nb2VF2
1.0
7.6532 0.0000 0.0000
0.0000 7.6532 0.0000
0.0000 0.0000 2.7459
Nb V F
4 2 4
Cartesian
1.8521 1.9745 0.0000 Nb
1.9745 5.8010 0.0000 Nb
5.6787 1.8521 0.0000 Nb
5.8010 5.6787 0.0000 Nb
0.0000 0.0000 0.0000 V
3.8266 3.8266 0.0000 V
0.8027 4.6292 1.3730 F
3.0239 0.8027 1.3730 F
4.6292 6.8505 1.3730 F
6.8505 3.0239 1.3730 F
```

Space group ... P4/mbm
Distance to the lowest polymorph of the same formula ... 821 meV per atom
Fermi-level density of states ... 8.57 states/eV/cell
Electronic total energy ... -6.38 eV per atom

***

(5)
NbV2F2 | PBE with a Hubbard U | relaxed

```
NbV2F2
1.0
7.5965 0.0000 0.0000
0.0000 7.5965 0.0000
0.0000 0.0000 2.8942
Nb V F
2 4 4
Cartesian
0.0000 0.0000 0.0000 Nb
3.7983 3.7983 0.0000 Nb
1.8817 1.9165 1.4471 V
1.9165 5.7148 1.4471 V
5.6800 1.8817 1.4471 V
5.7148 5.6800 1.4471 V
0.8948 4.6930 0.0000 F
2.9035 0.8948 0.0000 F
4.6930 6.7017 0.0000 F
6.7017 2.9035 0.0000 F
```

Space group ... P4/mbm
Distance to the lowest polymorph of the same formula ... 0 meV per atom
Fermi-level density of states ... 4.56 states/eV/cell
Electronic total energy ... -6.03 eV per atom

***

(6)
NbV2F2 | PBE with a Hubbard U | relaxed

```
NbV2F2
1.0
-2.3170 2.3170 3.8080
2.3170 -2.3170 3.8080
2.3170 2.3170 -3.8080
Nb V F
1 2 2
Cartesian
0.0000 0.0000 0.0000 Nb
2.3170 0.0000 1.9040 V
0.0000 2.3170 1.9040 V
0.0000 0.0000 2.1844 F
0.0000 0.0000 5.4315 F
```

Space group ... I4/mmm
Distance to the lowest polymorph of the same formula ... 121 meV per atom
Fermi-level density of states ... 1.54 states/eV/cell
Electronic total energy ... -5.91 eV per atom

***

(7)
Nb2VF2 | PBE with a Hubbard U | relaxed

```
Nb2VF2
1.0
-1.6163 1.6163 6.5224
1.6163 -1.6163 6.5224
1.6163 1.6163 -6.5224
Nb V F
2 1 2
Cartesian
0.0000 0.0000 1.6085 Nb
0.0000 0.0000 11.4363 Nb
0.0000 0.0000 6.5224 V
1.6163 0.0000 3.2612 F
0.0000 1.6163 3.2612 F
```

Space group ... I4/mmm
Distance to the lowest polymorph of the same formula ... 0 meV per atom
Fermi-level density of states ... 1.73 states/eV/cell
Electronic total energy ... -7.21 eV per atom

***

(8)
NbWF3 | PBE with a Hubbard U | relaxed

```
NbWF3
1.0
4.3648 0.0000 0.0000
0.0000 4.3648 0.0000
0.0000 0.0000 4.3648
Nb W F
1 1 3
Cartesian
0.0000 0.0000 0.0000 Nb
2.1824 2.1824 2.1824 W
0.0000 2.1824 2.1824 F
2.1824 0.0000 2.1824 F
2.1824 2.1824 0.0000 F
```

Space group ... Pm-3m
Distance to the lowest polymorph of the same formula ... 142 meV per atom
Fermi-level density of states ... 3.29 states/eV/cell
Electronic total energy ... -5.34 eV per atom

***

(9)
NbWF2 | PBE with a Hubbard U | relaxed

```
NbWF2
1.0
1.4139 0.8163 8.0415
-1.4139 0.8163 8.0415
0.0000 -1.6327 8.0415
Nb W F
1 1 2
Cartesian
0.0000 0.0000 0.0000 Nb
0.0000 0.0000 12.0623 W
0.0000 0.0000 9.6335 F
0.0000 0.0000 14.4910 F
```

Space group ... R-3m
Distance to the lowest polymorph of the same formula ... 0 meV per atom
Fermi-level density of states ... 2.13 states/eV/cell
Electronic total energy ... -5.91 eV per atom

***

(10)
NbWF2 | PBE with a Hubbard U | relaxed

```
NbWF2
1.0
-2.6855 2.6855 5.0641
2.6855 -2.6855 5.0641
2.6855 2.6855 -5.0641
Nb W F
2 2 4
Cartesian
0.0000 0.0000 0.0000 Nb
0.0000 2.6855 2.5321 Nb
2.6855 0.0000 2.5321 W
0.0000 0.0000 5.0641 W
4.0282 1.1797 -1.2660 F
1.1797 1.3427 1.2660 F
-1.3427 1.5058 3.7981 F
1.5058 1.3427 6.3302 F
```

Space group ... I-42d
Distance to the lowest polymorph of the same formula ... 484 meV per atom
Fermi-level density of states ... 0.00 states/eV/cell
Electronic total energy ... -5.43 eV per atom

***

(11)
Nb3WF | PBE with a Hubbard U | relaxed

```
Nb3WF
1.0
4.9669 0.0000 0.0000
0.0000 4.9669 0.0000
0.0000 0.0000 4.9669
Nb W F
3 1 1
Cartesian
0.0000 0.0000 2.4835 Nb
0.0000 2.4835 0.0000 Nb
2.4835 0.0000 0.0000 Nb
0.0000 0.0000 0.0000 W
2.4835 2.4835 2.4835 F
```

Space group ... Pm-3m
Fermi-level density of states ... 3.21 states/eV/cell
Electronic total energy ... -6.21 eV per atom

***

(12)
NbWF2 | PBE with a Hubbard U | relaxed

```
NbWF2
1.0
0.0000 3.0453 3.0453
3.0453 0.0000 3.0453
3.0453 3.0453 0.0000
Nb W F
1 1 2
Cartesian
0.0000 0.0000 0.0000 Nb
3.0453 3.0453 3.0453 W
1.5226 1.5226 1.5226 F
4.5679 4.5679 4.5679 F
```

Space group ... Fm-3m
Distance to the lowest polymorph of the same formula ... 868 meV per atom
Fermi-level density of states ... 3.80 states/eV/cell
Electronic total energy ... -5.04 eV per atom

***

(13)
NbW2F | PBE with a Hubbard U | relaxed

```
NbW2F
1.0
0.0000 3.2014 3.2014
3.2014 0.0000 3.2014
3.2014 3.2014 0.0000
Nb W F
1 2 1
Cartesian
0.0000 0.0000 0.0000 Nb
1.6007 1.6007 1.6007 W
4.8021 4.8021 4.8021 W
3.2014 3.2014 3.2014 F
```

Space group ... Fm-3m
Distance to the lowest polymorph of the same formula ... 357 meV per atom
Fermi-level density of states ... 5.56 states/eV/cell
Electronic total energy ... -5.45 eV per atom

***

(14)
NbWF3 | PBE with a Hubbard U | relaxed

```
NbWF3
1.0
4.3634 0.0000 0.0000
0.0000 4.3634 0.0000
0.0000 0.0000 4.3634
Nb W F
1 1 3
Cartesian
0.0000 0.0000 0.0000 Nb
2.1817 2.1817 2.1817 W
0.0000 0.0000 2.1817 F
0.0000 2.1817 0.0000 F
2.1817 0.0000 0.0000 F
```

Space group ... Pm-3m
Distance to the lowest polymorph of the same formula ... 0 meV per atom
Fermi-level density of states ... 4.54 states/eV/cell
Electronic total energy ... -5.48 eV per atom

***

(15)
NbW2F | PBE with a Hubbard U | relaxed

```
NbW2F
1.0
-3.4902 3.4902 2.6885
3.4902 -3.4902 2.6885
3.4902 3.4902 -2.6885
Nb W F
2 4 2
Cartesian
0.0000 0.0000 0.0000 Nb
0.0000 3.4902 1.3443 Nb
1.7451 -1.4052 2.0164 W
2.0850 1.7451 0.6721 W
1.7451 4.8954 -0.6721 W
1.4052 1.7451 3.3607 W
3.4902 0.0000 1.3443 F
0.0000 0.0000 2.6885 F
```

Space group ... I-42d
Distance to the lowest polymorph of the same formula ... 0 meV per atom
Fermi-level density of states ... 5.52 states/eV/cell
Electronic total energy ... -5.80 eV per atom